(1)
# UTiAlO6, relaxed, DFT PBE
data_UTiAlO6
_chemical_formula_sum 'U2 Ti2 Al2 O12'
_symmetry_space_group_name_H-M 'P -3 1 c'
_symmetry_Int_Tables_number 163
_symmetry_space_group_name_Hall '-P 3 2c'
_cell_length_a 5.0130
_cell_length_b 5.0130
_cell_length_c 9.4616
_cell_angle_alpha 90.00
_cell_angle_beta 90.00
_cell_angle_gamma 120.00
loop_
_atom_site_label
_atom_site_type_symbol
_atom_site_fract_x
_atom_site_fract_y
_atom_site_fract_z
U1 U 0.0000 0.0000 0.0000
Ti1 Ti 0.3333 0.6667 0.2500
Al1 Al 0.3333 0.6667 0.7500
O1 O 0.0079 0.3542 0.6374
# ρ: 6.59 g/cm3
# volume: 11.440 Å³/atom
# formation energy without anion corrections: -3069 meV per atom
# M_tot: 0.111 μB per atom
# energy: -160.59 eV for the cell shown

(2)
# Th4Os2Pt, relaxed, DFT PBE
data_Th4Os2Pt
_chemical_formula_sum 'Th8 Os4 Pt2'
_symmetry_space_group_name_H-M 'C 1 2/m 1'
_symmetry_Int_Tables_number 12
_cell_length_a 14.448
_cell_length_b 4.292
_cell_length_c 7.321
_cell_angle_alpha 90.00
_cell_angle_beta 119.66
_cell_angle_gamma 90.00
loop_
_symmetry_equiv_pos_as_xyz
'x,y,z'
'-x,-y,-z'
'-x,y,-z'
'x,-y,z'
'x+1/2,y+1/2,z'
'-x+1/2,-y+1/2,-z'
'-x+1/2,y+1/2,-z'
'x+1/2,-y+1/2,z'
loop_
_atom_site_label
_atom_site_type_symbol
_atom_site_fract_x
_atom_site_fract_y
_atom_site_fract_z
Th1 Th 0.126 0.000 0.313
Th2 Th 0.140 0.500 0.792
Os1 Os 0.237 0.500 0.239
Pt1 Pt 0.000 0.500 0.000
# ρ: 12.66 g/cm3
# volume: 28.177 Å³/atom
# M_tot: 0.000 μB per atom
# energy: -123.56 eV for the cell shown
# formation energy from the elements: -515 meV per atom

(3)
# LaScMn2, relaxed, DFT PBE
data_LaScMn2
_chemical_formula_sum 'La2 Sc2 Mn4'
_symmetry_space_group_name_H-M 'C 1 2/m 1'
_symmetry_Int_Tables_number 12
_cell_length_a 9.458
_cell_length_b 3.521
_cell_length_c 6.458
_cell_angle_alpha 90.00
_cell_angle_beta 122.20
_cell_angle_gamma 90.00
loop_
_symmetry_equiv_pos_as_xyz
'x,y,z'
'-x,-y,-z'
'-x,y,-z'
'x,-y,z'
'x+1/2,y+1/2,z'
'-x+1/2,-y+1/2,-z'
'-x+1/2,y+1/2,-z'
'x+1/2,-y+1/2,z'
loop_
_atom_site_label
_atom_site_type_symbol
_atom_site_fract_x
_atom_site_fract_y
_atom_site_fract_z
La1 La 0.000 0.000 0.000
Sc1 Sc 0.000 0.500 0.500
Mn1 Mn 0.236 0.500 0.398
# ρ: 5.36 g/cm3
# volume: 22.750 Å³/atom
# M_tot: 0.000 μB per atom
# energy: -56.65 eV for the cell shown
# formation energy from the elements: 319 meV per atom

(4)
# MgTaCl2, relaxed, DFT PBE
data_MgTaCl2
_chemical_formula_sum 'Mg2 Ta2 Cl4'
_symmetry_space_group_name_H-M 'I m m 2'
_symmetry_Int_Tables_number 44
_cell_length_a 3.066
_cell_length_b 4.521
_cell_length_c 12.574
_cell_angle_alpha 90.00
_cell_angle_beta 90.00
_cell_angle_gamma 90.00
loop_
_symmetry_equiv_pos_as_xyz
'x,y,z'
'-x,-y,z'
'-x,y,z'
'x,-y,z'
'x+1/2,y+1/2,z+1/2'
'-x+1/2,-y+1/2,z+1/2'
'-x+1/2,y+1/2,z+1/2'
'x+1/2,-y+1/2,z+1/2'
loop_
_atom_site_label
_atom_site_type_symbol
_atom_site_fract_x
_atom_site_fract_y
_atom_site_fract_z
Mg1 Mg 0.000 0.000 0.000
Ta1 Ta 0.000 0.500 0.304
Cl1 Cl 0.000 0.000 0.633
Cl2 Cl 0.000 0.500 0.823
# ρ: 5.26 g/cm3
# volume: 21.791 Å³/atom
# formation energy without anion corrections: -111 meV per atom
# M_tot: 0.287 μB per atom
# energy: -35.17 eV for the cell shown

(5)
# Ac5Tl2Sn2, relaxed, DFT PBE
data_Ac5Tl2Sn2
_chemical_formula_sum 'Ac20 Tl8 Sn8'
_symmetry_space_group_name_H-M 'C m c e'
_symmetry_Int_Tables_number 64
_symmetry_space_group_name_Hall '-C 2ac 2'
_cell_length_a 17.327
_cell_length_b 8.835
_cell_length_c 8.851
_cell_angle_alpha 90.00
_cell_angle_beta 90.00
_cell_angle_gamma 90.00
loop_
_atom_site_label
_atom_site_type_symbol
_atom_site_fract_x
_atom_site_fract_y
_atom_site_fract_z
Ac1 Ac 0.000 0.000 0.000
Ac2 Ac 0.136 0.180 0.328
Tl1 Tl 0.210 0.000 0.000
Sn1 Sn 0.000 0.123 0.626
# ρ: 8.73 g/cm3
# volume: 37.637 Å³/atom
# M_tot: 0.000 μB per atom
# energy: -151.23 eV for the cell shown
# formation energy from the elements: -503 meV per atom

(6)
# ZnH2Ru, relaxed, DFT PBE
data_ZnH2Ru
_chemical_formula_sum 'Zn3 H6 Ru3'
_symmetry_space_group_name_H-M 'R 3 m'
_symmetry_Int_Tables_number 160
_symmetry_space_group_name_Hall 'R 3 -2"'
_cell_length_a 2.9779
_cell_length_b 2.9779
_cell_length_c 14.2027
_cell_angle_alpha 90.00
_cell_angle_beta 90.00
_cell_angle_gamma 120.00
loop_
_atom_site_label
_atom_site_type_symbol
_atom_site_fract_x
_atom_site_fract_y
_atom_site_fract_z
Zn1 Zn 0.0000 0.0000 0.0000
H1 H 0.0000 0.0000 0.2056
H2 H 0.0000 0.0000 0.4400
Ru1 Ru 0.0000 0.0000 0.8170
# ρ: 7.70 g/cm3
# volume: 9.090 Å³/atom
# M_tot: 0.000 μB per atom
# energy: -50.39 eV for the cell shown

(7)
# SrSiBi2, relaxed, DFT PBE
data_SrSiBi2
_chemical_formula_sum 'Sr4 Si4 Bi8'
_symmetry_space_group_name_H-M 'I -4 2 d'
_symmetry_Int_Tables_number 122
_symmetry_space_group_name_Hall 'I -4 2bw'
_cell_length_a 8.097
_cell_length_b 8.097
_cell_length_c 8.473
_cell_angle_alpha 90.00
_cell_angle_beta 90.00
_cell_angle_gamma 90.00
loop_
_atom_site_label
_atom_site_type_symbol
_atom_site_fract_x
_atom_site_fract_y
_atom_site_fract_z
Sr1 Sr 0.000 0.000 0.000
Si1 Si 0.000 0.000 0.500
Bi1 Bi 0.174 0.250 0.625
# ρ: 6.38 g/cm3
# volume: 34.722 Å³/atom
# formation energy without anion corrections: -143 meV per atom
# M_tot: 0.000 μB per atom
# energy: -61.75 eV for the cell shown

(8)
# Zn2CoPI, relaxed, DFT PBE
data_Zn2CoPI
_chemical_formula_sum 'Zn2 Co1 P1 I1'
_symmetry_space_group_name_H-M 'P 4/m m m'
_symmetry_Int_Tables_number 123
_symmetry_space_group_name_Hall '-P 4 2'
_cell_length_a 4.565
_cell_length_b 4.565
_cell_length_c 5.903
_cell_angle_alpha 90.00
_cell_angle_beta 90.00
_cell_angle_gamma 90.00
loop_
_atom_site_label
_atom_site_type_symbol
_atom_site_fract_x
_atom_site_fract_y
_atom_site_fract_z
Zn1 Zn 0.000 0.500 0.000
Co1 Co 0.000 0.000 0.500
P1 P 0.500 0.500 0.000
I1 I 0.500 0.500 0.500
# ρ: 4.69 g/cm3
# volume: 24.599 Å³/atom
# formation energy without anion corrections: 870 meV per atom
# M_tot: 0.409 μB per atom
# energy: -12.26 eV for the cell shown